RbV2F: relaxed, PBE+U.

Cell: 7.094 7.094 7.094 Å, 122.13 122.13 86.34°
Atoms (fractional coordinates):
Rb: 0.375 0.625 0.750
Rb: 0.625 0.375 0.250
V: 0.000 0.000 0.000
V: 0.000 0.000 0.500
V: 0.000 0.500 0.000
V: 0.500 0.000 0.500
F: 0.125 0.875 0.250
F: 0.875 0.125 0.750

## Properties
- Magnetic moment: 1.983 μB per atom
- Energy: -4.23 eV/atom
- Polymorph energy (0 for the lowest one): 0.00 eV/f.u.